! BaBeTc GGA-PBE optimized geometry; values from VASP
! spin magnetization: 3.0 μB per formula unit
! excess energy over the best structure of this formula in the dataset: 741.6 meV/atom
! final energy: -3.288 eV/atom
! crystal system: cubic
&SYSTEM
  ibrav = 0, nat = 3, ntyp = 3
/
ATOMIC_SPECIES
Ba 137.33 Ba.upf
Tc 98.00 Tc.upf
Be 9.01 Be.upf
CELL_PARAMETERS angstrom
1.467 -4.845 0.127
-3.464 -3.692 0.128
-0.694 -2.962 -4.048
ATOMIC_POSITIONS angstrom
Ba 0.000 0.000 0.000
Tc -2.019 -8.624 -2.845
Be -0.673 -2.875 -0.948